Entry 1:
# BiSb2Te2 SCAN single point on PBEsol structure
# Relative energy among the computed polymorphs in eV/atom: 0.0812
# Total magnetic moment in μB/f.u.: 0.0
# Formation energy from raw total energies in kJ/mol of atoms: 23
data_BiSb2Te2
_chemical_formula_sum 'Bi2 Sb4 Te4'
_cell_length_a 4.154
_cell_length_b 4.154
_cell_length_c 17.466
_cell_angle_alpha 90.00
_cell_angle_beta 90.00
_cell_angle_gamma 90.00
_space_group_name_H-M_alt 'I 4/m m m'
_space_group_IT_number 139
_space_group_name_Hall '-I 4 2'
loop_
_atom_site_label
_atom_site_fract_x
_atom_site_fract_y
_atom_site_fract_z
Bi1 0.000 0.000 0.000
Sb1 0.000 0.500 0.250
Te1 0.000 0.000 0.406

---

Entry 2:
# Si2Te SCAN single point on PBEsol structure
# Relative energy among the computed polymorphs in eV/atom: 0.0000
# Total magnetic moment in μB/f.u.: 0.0
# Formation energy from raw total energies in kJ/mol of atoms: 3
data_Si2Te
_chemical_formula_sum 'Si8 Te4'
_cell_length_a 3.964
_cell_length_b 19.893
_cell_length_c 3.828
_cell_angle_alpha 90.00
_cell_angle_beta 90.00
_cell_angle_gamma 90.00
_space_group_name_H-M_alt 'C m c m'
_space_group_IT_number 63
_space_group_name_Hall '-C 2c 2'
loop_
_atom_site_label
_atom_site_fract_x
_atom_site_fract_y
_atom_site_fract_z
Si1 0.000 0.034 0.250
Si2 0.000 0.401 0.750
Te1 0.000 0.317 0.250

---

Entry 3:
# Si2RhBr SCAN single point on PBEsol structure
# Relative energy among the computed polymorphs in eV/atom: 0.0000
# Total magnetic moment in μB/f.u.: 0.0
# Formation energy from raw total energies in kJ/mol of atoms: 4
data_Si2RhBr
_chemical_formula_sum 'Si6 Rh3 Br3'
_cell_length_a 3.6910
_cell_length_b 3.6910
_cell_length_c 18.6009
_cell_angle_alpha 90.00
_cell_angle_beta 90.00
_cell_angle_gamma 120.00
_space_group_name_H-M_alt 'R 3 m'
_space_group_IT_number 160
_space_group_name_Hall 'R 3 -2"'
loop_
_atom_site_label
_atom_site_fract_x
_atom_site_fract_y
_atom_site_fract_z
Si1 0.0000 0.0000 0.0000
Si2 0.0000 0.0000 0.2718
Rh1 0.0000 0.0000 0.7229
Br1 0.0000 0.0000 0.4815

---

Entry 4:
# LuCoC SCAN single point on PBEsol structure
# Energy relative to the elements in eV per atom: -0.391
# Total magnetic moment in μB/f.u.: 0.9
data_LuCoC
_chemical_formula_sum 'Lu2 Co2 C2'
_cell_length_a 3.548
_cell_length_b 3.548
_cell_length_c 6.530
_cell_angle_alpha 90.00
_cell_angle_beta 90.00
_cell_angle_gamma 90.00
_space_group_name_H-M_alt 'P 42/m m c'
_space_group_IT_number 131
_space_group_name_Hall '-P 4c 2'
loop_
_atom_site_label
_atom_site_fract_x
_atom_site_fract_y
_atom_site_fract_z
Lu1 0.000 0.000 0.250
Co1 0.500 0.500 0.000
C1 0.000 0.500 0.000

---

Entry 5:
# ZnBC2 SCAN single point on PBEsol structure
# Energy relative to the elements in eV per atom: 0.967
# Total magnetic moment in μB/f.u.: 0.0
data_ZnBC2
_chemical_formula_sum 'Zn4 B4 C8'
_cell_length_a 4.358
_cell_length_b 4.358
_cell_length_c 7.644
_cell_angle_alpha 90.00
_cell_angle_beta 90.00
_cell_angle_gamma 90.00
_space_group_name_H-M_alt 'I -4 2 d'
_space_group_IT_number 122
_space_group_name_Hall 'I -4 2bw'
loop_
_atom_site_label
_atom_site_fract_x
_atom_site_fract_y
_atom_site_fract_z
Zn1 0.000 0.000 0.000
B1 0.000 0.000 0.500
C1 0.164 0.750 0.625

---

Entry 6:
# ZnH16I2O16 SCAN single point on PBEsol structure
# Total magnetic moment in μB/f.u.: 0.0
# Electronic total energy in eV per atom: -7.7754
data_ZnH16I2O16
_chemical_formula_sum 'Zn2 H32 I4 O32'
_cell_length_a 10.609
_cell_length_b 5.366
_cell_length_c 11.768
_cell_angle_alpha 90.00
_cell_angle_beta 112.24
_cell_angle_gamma 90.00
_space_group_name_H-M_alt 'P 1 21/c 1'
_space_group_IT_number 14
loop_
_space_group_symop_operation_xyz
'x,y,z'
'-x,-y,-z'
'-x,y+1/2,-z+1/2'
'x,-y+1/2,z+1/2'
loop_
_atom_site_label
_atom_site_fract_x
_atom_site_fract_y
_atom_site_fract_z
Zn1 0.000 0.000 0.000
H1 0.047 0.147 0.232
H2 0.117 0.663 0.339
H3 0.129 0.547 0.082
H4 0.188 0.225 0.469
H5 0.217 0.720 0.653
H6 0.248 0.174 0.109
H7 0.368 0.582 0.385
H8 0.476 0.623 0.674
I1 0.379 0.037 0.375
O1 0.029 0.648 0.349
O2 0.122 0.719 0.112
O3 0.165 0.249 0.045
O4 0.217 0.183 0.349
O5 0.308 0.722 0.396
O6 0.363 0.539 0.718
O7 0.435 0.099 0.557
O8 0.453 0.138 0.866

---

Entry 7:
# SnTeSe2 SCAN single point on PBEsol structure
# Total magnetic moment in μB/f.u.: 0.0
# Formation energy from raw total energies in kJ/mol of atoms: -4
data_SnTeSe2
_chemical_formula_sum 'Sn3 Te3 Se6'
_cell_length_a 3.8745
_cell_length_b 3.8745
_cell_length_c 26.4101
_cell_angle_alpha 90.00
_cell_angle_beta 90.00
_cell_angle_gamma 120.00
_space_group_name_H-M_alt 'R -3 m'
_space_group_IT_number 166
_space_group_name_Hall '-R 3 2"'
loop_
_atom_site_label
_atom_site_fract_x
_atom_site_fract_y
_atom_site_fract_z
Sn1 0.0000 0.0000 0.0000
Te1 0.0000 0.0000 0.5000
Se1 0.0000 0.0000 0.3977

---

Entry 8:
# KY2Al SCAN single point on PBEsol structure
# Energy relative to the elements in eV per atom: 0.462
# Total magnetic moment in μB/f.u.: 0.0
data_KY2Al
_chemical_formula_sum 'K4 Y8 Al4'
_cell_length_a 7.765
_cell_length_b 7.765
_cell_length_c 7.765
_cell_angle_alpha 90.00
_cell_angle_beta 90.00
_cell_angle_gamma 90.00
_space_group_name_H-M_alt 'F -4 3 m'
_space_group_IT_number 216
_space_group_name_Hall 'F -4 2 3'
loop_
_atom_site_label
_atom_site_fract_x
_atom_site_fract_y
_atom_site_fract_z
K1 0.000 0.000 0.000
Y1 0.000 0.000 0.500
Y2 0.250 0.250 0.750
Al1 0.250 0.250 0.250